1.
The following is a DFT calculation (GGA-PBE) of a geometry-optimized Pr7Tl3C2 structure.

Properties
The calculation puts the magnetization at 0.0 μB per formula unit. The formation energy comes out at -3.20 eV/f.u. As for the symmetry: Cmmm.

Unit cell a=5.164 b=5.199 c=12.852 alpha=101.67 beta=90.00 gamma=90.00
Atoms (fractional coordinates):
C 0.000 0.106 0.212
C 0.000 0.894 0.788
Pr 0.000 0.798 0.596
Pr 0.000 0.000 0.000
Pr 0.500 0.901 0.802
Pr 0.000 0.202 0.404
Pr 0.000 0.601 0.202
Pr 0.500 0.099 0.198
Pr 0.000 0.399 0.798
Tl 0.500 0.698 0.397
Tl 0.500 0.302 0.603
Tl 0.500 0.500 0.000

---

2.
The following is a DFT calculation (GGA-PBE) of a geometry-optimized Pr6Tl2C structure.

Properties
Its polymorph energy (0 for the lowest one) is 0.151 eV per atom. The calculation puts the magnetization at 0.0 μB per formula unit. The formation energy comes out at -0.87 eV/f.u. As for the symmetry: Amm2.

Unit cell a=3.693 b=9.324 c=9.039 alpha=121.05 beta=90.00 gamma=90.00
Atoms (fractional coordinates):
Pr 0.500 0.996 0.596
Pr 0.500 0.581 0.000
Pr 0.500 0.400 0.404
Pr 0.000 0.227 0.000
Pr 0.000 0.999 0.209
Pr 0.000 0.790 0.791
Tl 0.000 0.662 0.341
Tl 0.000 0.321 0.659
C 0.500 0.024 0.000

---

3.
The following is a DFT calculation (GGA-PBE) of a geometry-optimized Pr2TlC2 structure.

Properties
The calculation puts the magnetization at 0.0 μB per formula unit. The formation energy comes out at -1.17 eV/f.u. As for the symmetry: C2/c.

Unit cell a=3.950 b=7.146 c=8.728 alpha=108.15 beta=103.08 gamma=90.00
Atoms (fractional coordinates):
C 0.096 0.528 0.456
C 0.904 0.472 0.544
C 0.640 0.972 0.544
C 0.360 0.028 0.456
Pr 0.493 0.623 0.308
Pr 0.186 0.877 0.692
Pr 0.814 0.123 0.308
Pr 0.507 0.377 0.692
Tl 0.032 0.250 0.000
Tl 0.968 0.750 0.000